{
  "formula": "Li3Pd",
  "functional": "GGA-PBE",
  "state": "relaxed",
  "m_tot_mub_per_fu": 0.0,
  "total_energy_ev_per_atom": -3.035,
  "e_form_ev_per_atom": -0.3011,
  "lattice": [[0.000, 3.083, 3.083], [3.083, 0.000, 3.083], [3.083, 3.083, 0.000]],
  "species": ["Li", "Li", "Li", "Pd"],
  "fractional_positions": [[0.000, 0.000, 0.000], [0.250, 0.250, 0.250], [0.750, 0.750, 0.750], [0.500, 0.500, 0.500]]
}